The following is a PBE calculation of Y4Np3S8 after structural relaxation, from the Alexandria database.

Cell: 7.814 7.817 7.817 Å, 90.05 119.97 119.97°
Site moments in Bohr magnetons follow the coordinates.
Fractional positions:
S1 0.501 0.249 0.249  0.03
S2 0.500 0.249 0.751  0.03
S3 0.000 0.749 0.749  -0.04
S4 0.000 0.251 0.749  0.06
S5 0.499 0.751 0.751  0.03
S6 0.000 0.749 0.251  0.06
S7 0.500 0.751 0.249  0.03
S8 0.000 0.251 0.251  -0.04
Y1 0.000 0.000 0.000  -0.04
Y2 0.000 0.500 0.000  -0.03
Y3 0.000 0.000 0.500  -0.03
Y4 0.500 0.000 0.000  -0.02
Np1 0.500 0.000 0.500  -3.88
Np2 0.500 0.500 0.000  -3.88
Np3 0.500 0.500 0.500  3.81

Computed properties:
* crystal system: monoclinic
* formation energy from raw total energies: -1765 meV per atom
* magnetic moment: 4.47 μB/f.u.
* calculated density: 6.50 g/cm³
* symmetry: C2/m (12)

The following is a PBE calculation of YNp3S6 after structural relaxation, from the Alexandria database.

Cell: 3.951 11.321 10.863 Å, 108.01 90.00 90.00°
Site moments in Bohr magnetons follow the coordinates.
Fractional positions:
Y1 0.750 0.691 0.045  0.08
Y2 0.250 0.309 0.955  0.08
S1 0.750 0.098 0.916  -0.09
S2 0.750 0.752 0.807  -0.10
S3 0.250 0.902 0.084  -0.09
S4 0.750 0.462 0.114  -0.05
S5 0.250 0.937 0.599  -0.11
S6 0.250 0.248 0.193  -0.10
S7 0.250 0.538 0.886  -0.05
S8 0.750 0.616 0.484  -0.11
S9 0.750 0.063 0.401  -0.11
S10 0.250 0.723 0.255  -0.08
S11 0.250 0.384 0.516  -0.11
S12 0.750 0.277 0.745  -0.08
Np1 0.250 0.498 0.318  3.81
Np2 0.250 0.168 0.569  3.86
Np3 0.750 0.832 0.431  3.86
Np4 0.750 0.502 0.682  3.81
Np5 0.750 0.082 0.160  3.81
Np6 0.250 0.918 0.840  3.81

Computed properties:
* crystal system: monoclinic
* formation energy from raw total energies: -1531 meV per atom
* magnetic moment: 11.91 μB/f.u.
* calculated density: 7.13 g/cm³
* symmetry: P2_1/m (11)

The following is a PBE calculation of Y3NpS4 after structural relaxation, from the Alexandria database.

Cell: 3.922 3.922 12.922 Å, 81.27 81.27 60.00°
Site moments in Bohr magnetons follow the coordinates.
Fractional positions:
S1 0.875 0.875 0.375  0.00
S2 0.374 0.374 0.877  -0.06
S3 0.125 0.125 0.625  0.00
S4 0.626 0.626 0.123  -0.06
Np1 0.000 0.000 0.000  3.96
Y1 0.251 0.251 0.246  0.02
Y2 0.749 0.749 0.754  0.02
Y3 0.500 0.500 0.500  -0.03

Computed properties:
* crystal system: trigonal
* formation energy from raw total energies: -1859 meV per atom
* magnetic moment: 4.32 μB/f.u.
* calculated density: 6.19 g/cm³
* symmetry: R-3m (166)

The following is a PBE calculation of Y4NpS7 after structural relaxation, from the Alexandria database.

Cell: 3.827 6.728 11.655 Å, 104.02 90.00 106.53°
Site moments in Bohr magnetons follow the coordinates.
Fractional positions:
Y1 0.699 0.398 0.812  0.04
Y2 0.115 0.231 0.422  0.10
Y3 0.302 0.604 0.189  0.01
Y4 0.000 0.000 0.001  0.01
S1 0.738 0.477 0.348  -0.02
S2 0.042 0.084 0.786  -0.02
S3 0.342 0.683 0.950  0.00
S4 0.959 0.917 0.216  0.00
S5 0.500 0.999 0.498  -0.06
S6 0.259 0.518 0.650  -0.05
S7 0.659 0.319 0.051  0.00
Np1 0.885 0.770 0.577  3.94

Computed properties:
* crystal system: monoclinic
* formation energy from raw total energies: -1915 meV per atom
* magnetic moment: 4.42 μB/f.u.
* calculated density: 4.87 g/cm³
* symmetry: Cm (8)

The following is a PBE calculation of YNp5S6 after structural relaxation, from the Alexandria database.

Cell: 6.761 6.761 6.764 Å, 99.57 99.57 120.01°
Site moments in Bohr magnetons follow the coordinates.
Fractional positions:
S1 0.084 0.420 0.252  -0.09
S2 0.748 0.748 0.251  -0.09
S3 0.916 0.580 0.748  -0.09
S4 0.580 0.916 0.748  -0.09
S5 0.420 0.084 0.252  -0.09
S6 0.252 0.252 0.749  -0.09
Np1 0.500 0.500 0.500  3.87
Np2 0.667 0.333 0.000  3.86
Np3 0.333 0.667 0.000  3.86
Np4 0.834 0.166 0.500  3.87
Np5 0.166 0.834 0.500  3.87
Y1 0.000 0.000 0.000  -0.01

Computed properties:
* crystal system: monoclinic
* formation energy from raw total energies: -1479 meV per atom
* magnetic moment: 20.69 μB/f.u.
* calculated density: 9.64 g/cm³
* symmetry: C2/m (12)

The following is a PBE calculation of Y2NpS5 after structural relaxation, from the Alexandria database.

Cell: 7.395 7.869 11.769 Å, 90.00 90.00 90.00°
Site moments in Bohr magnetons follow the coordinates.
Fractional positions:
Y1 0.016 0.498 0.321  0.01
Y2 0.516 0.502 0.179  0.01
Y3 0.016 0.002 0.321  0.01
Y4 0.484 0.002 0.821  0.01
Y5 0.984 0.998 0.679  0.01
Y6 0.484 0.498 0.821  0.01
Y7 0.516 0.998 0.179  0.01
Y8 0.984 0.502 0.679  0.01
S1 0.798 0.750 0.216  -0.04
S2 0.339 0.543 0.600  -0.09
S3 0.175 0.750 0.815  -0.04
S4 0.825 0.250 0.185  -0.04
S5 0.043 0.250 0.500  -0.03
S6 0.457 0.250 0.000  -0.03
S7 0.839 0.457 0.900  -0.09
S8 0.675 0.250 0.685  -0.04
S9 0.839 0.043 0.900  -0.09
S10 0.161 0.957 0.100  -0.09
S11 0.202 0.250 0.784  -0.04
S12 0.325 0.750 0.315  -0.04
S13 0.161 0.543 0.100  -0.09
S14 0.661 0.043 0.400  -0.09
S15 0.661 0.457 0.400  -0.09
S16 0.957 0.750 0.500  -0.03
S17 0.298 0.250 0.284  -0.04
S18 0.339 0.957 0.600  -0.09
S19 0.543 0.750 0.000  -0.03
S20 0.702 0.750 0.716  -0.04
Np1 0.431 0.250 0.507  3.22
Np2 0.569 0.750 0.493  3.22
Np3 0.931 0.750 0.993  3.22
Np4 0.069 0.250 0.007  3.22

Computed properties:
* crystal system: orthorhombic
* formation energy from raw total energies: -1749 meV per atom
* magnetic moment: 3.00 μB/f.u.
* calculated density: 5.58 g/cm³
* symmetry: Pnma (62)

The following is a PBE calculation of Y2Np3S8 after structural relaxation, from the Alexandria database.

Cell: 4.712 9.381 8.165 Å, 125.05 90.00 90.00°
Site moments in Bohr magnetons follow the coordinates.
Fractional positions:
S1 0.000 0.374 0.748  -0.06
S2 0.000 0.885 0.769  -0.11
S3 0.500 0.639 0.755  -0.08
S4 0.000 0.626 0.252  -0.06
S5 0.500 0.884 0.245  -0.08
S6 0.000 0.115 0.231  -0.11
S7 0.500 0.116 0.755  -0.08
S8 0.500 0.361 0.245  -0.08
Np1 0.000 0.268 0.000  3.66
Np2 0.500 0.000 0.000  3.66
Np3 0.000 0.732 0.000  3.66
Y1 0.500 0.271 0.543  0.04
Y2 0.500 0.729 0.457  0.04

Computed properties:
* crystal system: orthorhombic
* formation energy from raw total energies: -1512 meV per atom
* magnetic moment: 11.00 μB/f.u.
* calculated density: 6.44 g/cm³
* symmetry: Cmmm (65)

The following is a PBE calculation of YNp2S6 after structural relaxation, from the Alexandria database.

Cell: 4.190 7.164 7.164 Å, 120.00 90.00 90.00°
Site moments in Bohr magnetons follow the coordinates.
Fractional positions:
S1 0.762 0.696 0.080  -0.15
S2 0.238 0.616 0.696  -0.15
S3 0.762 0.384 0.304  -0.15
S4 0.762 0.920 0.616  -0.15
S5 0.238 0.080 0.384  -0.15
S6 0.238 0.304 0.920  -0.15
Y1 0.500 0.000 0.000  0.00
Np1 0.712 0.333 0.667  3.04
Np2 0.288 0.667 0.333  3.04

Computed properties:
* crystal system: trigonal
* formation energy from raw total energies: -1316 meV per atom
* magnetic moment: 5.01 μB/f.u.
* calculated density: 6.74 g/cm³
* symmetry: P-3 (147)

The following is a PBE calculation of YNp4S7 after structural relaxation, from the Alexandria database.

Cell: 3.861 6.751 11.475 Å, 104.13 90.00 106.62°
Site moments in Bohr magnetons follow the coordinates.
Fractional positions:
S1 0.345 0.689 0.948  -0.03
S2 0.657 0.313 0.051  -0.08
S3 0.501 0.003 0.502  -0.06
S4 0.264 0.527 0.650  0.00
S5 0.041 0.082 0.784  0.01
S6 0.956 0.913 0.218  -0.11
S7 0.735 0.471 0.348  -0.09
Np1 0.301 0.602 0.185  3.98
Np2 0.700 0.399 0.812  -3.82
Np3 0.115 0.231 0.421  3.91
Np4 0.001 0.002 0.004  3.77
Y1 0.884 0.768 0.576  0.07

Computed properties:
* crystal system: monoclinic
* formation energy from raw total energies: -1485 meV per atom
* magnetic moment: 8.37 μB/f.u.
* calculated density: 7.56 g/cm³
* symmetry: Cm (8)

The following is a PBE calculation of Y3Np4S8 after structural relaxation, from the Alexandria database.

Cell: 7.835 7.818 7.818 Å, 89.99 120.05 120.05°
Site moments in Bohr magnetons follow the coordinates.
Fractional positions:
S1 0.000 0.251 0.749  0.08
S2 0.495 0.748 0.748  -0.01
S3 0.997 0.748 0.748  0.05
S4 0.500 0.749 0.251  0.02
S5 0.003 0.252 0.252  0.05
S6 0.000 0.749 0.251  0.08
S7 0.500 0.251 0.749  0.02
S8 0.505 0.252 0.252  -0.01
Np1 0.000 0.500 0.000  -3.88
Np2 0.000 0.000 0.000  -3.85
Np3 0.000 0.000 0.500  -3.88
Np4 0.500 0.000 0.000  3.75
Y1 0.500 0.000 0.500  -0.05
Y2 0.500 0.500 0.000  -0.05
Y3 0.500 0.500 0.500  -0.04

Computed properties:
* crystal system: monoclinic
* formation energy from raw total energies: -1644 meV per atom
* magnetic moment: 8.74 μB/f.u.
* calculated density: 7.23 g/cm³
* symmetry: C2/m (12)

The following is a PBE calculation of Y3Np2S8 after structural relaxation, from the Alexandria database.

Cell: 4.625 9.556 8.223 Å, 125.57 90.00 90.00°
Site moments in Bohr magnetons follow the coordinates.
Fractional positions:
S1 0.000 0.628 0.257  -0.06
S2 0.500 0.117 0.751  -0.06
S3 0.500 0.634 0.751  -0.06
S4 0.500 0.366 0.249  -0.06
S5 0.500 0.883 0.249  -0.06
S6 0.000 0.121 0.242  -0.07
S7 0.000 0.372 0.743  -0.06
S8 0.000 0.879 0.758  -0.07
Y1 0.500 0.000 0.000  0.07
Y2 0.000 0.283 0.000  0.02
Y3 0.000 0.717 0.000  0.02
Np1 0.500 0.738 0.476  3.61
Np2 0.500 0.262 0.524  3.61

Computed properties:
* crystal system: orthorhombic
* formation energy from raw total energies: -1585 meV per atom
* magnetic moment: 7.01 μB/f.u.
* calculated density: 5.60 g/cm³
* symmetry: Cmmm (65)

The following is a PBE calculation of YNp2S4 after structural relaxation, from the Alexandria database.

Cell: 3.816 6.759 13.110 Å, 90.00 90.00 106.40°
Site moments in Bohr magnetons follow the coordinates.
Fractional positions:
S1 0.500 0.000 0.000  -0.11
S2 0.777 0.554 0.375  -0.07
S3 0.500 0.000 0.500  -0.11
S4 0.031 0.062 0.250  -0.06
S5 0.223 0.446 0.625  -0.07
S6 0.777 0.554 0.125  -0.07
S7 0.223 0.446 0.875  -0.07
S8 0.969 0.938 0.750  -0.06
Y1 0.378 0.757 0.250  0.10
Y2 0.622 0.243 0.750  0.10
Np1 0.867 0.733 0.568  3.98
Np2 0.133 0.267 0.432  3.98
Np3 0.867 0.733 0.932  3.98
Np4 0.133 0.267 0.068  3.98

Computed properties:
* crystal system: orthorhombic
* formation energy from raw total energies: -1564 meV per atom
* magnetic moment: 8.68 μB/f.u.
* calculated density: 7.08 g/cm³
* symmetry: Cmcm (63)